Record 1
First-principles (PBE) data for crystalline SrHgO2F at its relaxed geometry, as listed in Alexandria via LeMat-Bulk.

* total magnetic moment: 0.0 μB/f.u.
* volume: 82.9 Å³ per cell
* formation energy from raw total energies: -1.41 eV/atom
* final energy: -4.168 eV per atom
* space-group type: P4/mmm

Lattice parameters (Å, degrees): 4.2230 4.2230 4.6457 90.00 90.00 90.00
Closest atoms and distances in Å follow each position.
Sites, in units of the cell vectors:
Sr (0.0000, 0.0000, 0.0000)  4 F 2.99, 8 O 3.14
Hg (0.5000, 0.5000, 0.5000)  4 O 2.11, 2 F 2.32
O (0.0000, 0.5000, 0.5000)  2 Hg 2.11
O (0.5000, 0.0000, 0.5000)  2 Hg 2.11
F (0.5000, 0.5000, 0.0000)  2 Hg 2.32

***

Record 2
First-principles (PBE) data for crystalline SrHgOF2 at its relaxed geometry, as listed in Alexandria via LeMat-Bulk.

* total magnetic moment: 0.0 μB/f.u.
* offset from the most stable computed form: 0.137 eV per atom
* volume: 104.2 Å³ per cell
* formation energy from raw total energies: -1.70 eV/atom
* final energy: -3.836 eV per atom
* space-group type: P4/mmm

Lattice parameters (Å, degrees): 4.5872 4.5872 4.9499 90.00 90.00 90.00
Closest atoms and distances in Å follow each position.
Sites, in units of the cell vectors:
Sr (0.0000, 0.0000, 0.0000)  4 F 2.29, 2 O 2.47
Hg (0.5000, 0.5000, 0.5000)  4 O 3.24, 8 F 3.37
O (0.0000, 0.0000, 0.5000)  2 Sr 2.47
F (0.0000, 0.5000, 0.0000)  2 Sr 2.29
F (0.5000, 0.0000, 0.0000)  2 Sr 2.29

***

Which value of final energy does entry 1 give? -4.168 eV per atom